No. 1
La3YCd4 | Alexandria | PBE | relaxed; N(E_F) = 10.31 states/eV/cell; calculated total energy = -0.253 Ry per atom; formation enthalpy at 0 K = -328 meV per atom
1.0
3.860 0.000 0.000
0.000 3.860 0.000
0.000 0.000 15.802
La Y Cd
3 1 4
direct
0.000 0.000 0.000 La
0.000 0.000 0.257 La
0.000 0.000 0.743 La
0.000 0.000 0.500 Y
0.500 0.500 0.127 Cd
0.500 0.500 0.389 Cd
0.500 0.500 0.611 Cd
0.500 0.500 0.873 Cd

***

No. 2
LaSmBi2 | Alexandria | PBE | relaxed; N(E_F) = 0.60 states/eV/cell; calculated total energy = -0.393 Ry per atom; formation enthalpy at 0 K = -991 meV per atom
1.0
2.319 1.339 7.549
-2.319 1.339 7.549
0.000 -2.678 7.549
La Sm Bi
1 1 2
direct
0.000 0.000 0.000 La
0.500 0.500 0.500 Sm
0.248 0.248 0.248 Bi
0.752 0.752 0.752 Bi

***

No. 3
Fe3Tc3N | Alexandria | PBE | relaxed; N(E_F) = 29.45 states/eV/cell; energy relative to the elements, uncorrected = 0.006 eV per atom; calculated total energy = -0.680 Ry per atom
1.0
0.000 5.487 5.487
5.487 0.000 5.487
5.487 5.487 0.000
Fe Tc N
12 12 4
direct
0.000 0.000 0.000 Fe
0.000 0.000 0.500 Fe
0.000 0.500 0.000 Fe
0.125 0.792 0.792 Fe
0.208 0.208 0.208 Fe
0.208 0.208 0.875 Fe
0.208 0.875 0.208 Fe
0.500 0.000 0.000 Fe
0.792 0.125 0.792 Fe
0.792 0.792 0.125 Fe
0.792 0.792 0.792 Fe
0.875 0.208 0.208 Fe
0.175 0.175 0.575 Tc
0.175 0.575 0.175 Tc
0.175 0.575 0.575 Tc
0.425 0.425 0.825 Tc
0.425 0.825 0.425 Tc
0.425 0.825 0.825 Tc
0.575 0.175 0.175 Tc
0.575 0.175 0.575 Tc
0.575 0.575 0.175 Tc
0.825 0.425 0.425 Tc
0.825 0.425 0.825 Tc
0.825 0.825 0.425 Tc
0.000 0.500 0.500 N
0.500 0.000 0.500 N
0.500 0.500 0.000 N
0.500 0.500 0.500 N

***

No. 4
BaLaAu2 | Alexandria | PBE | relaxed; N(E_F) = 2.30 states/eV/cell; calculated total energy = -0.279 Ry per atom; formation enthalpy at 0 K = -440 meV per atom
1.0
0.000 3.721 3.721
3.721 0.000 3.721
3.721 3.721 0.000
Ba La Au
1 1 2
direct
0.000 0.000 0.000 Ba
0.250 0.250 0.250 La
0.500 0.500 0.500 Au
0.750 0.750 0.750 Au

***

No. 5
V2CrAg2S6 | Alexandria | PBE | relaxed; N(E_F) = 4.95 states/eV/cell; energy relative to the elements, uncorrected = -0.604 eV per atom; calculated total energy = -0.434 Ry per atom
1.0
3.014 -5.165 0.000
3.014 5.165 0.000
-1.909 0.000 7.288
V Cr Ag S
2 1 2 6
direct
0.143 0.857 0.000 V
0.857 0.143 0.000 V
0.500 0.500 0.000 Cr
0.337 0.663 0.500 Ag
0.663 0.337 0.500 Ag
0.112 0.112 0.803 S
0.219 0.562 0.174 S
0.438 0.781 0.826 S
0.562 0.219 0.174 S
0.781 0.438 0.826 S
0.888 0.888 0.197 S

***

No. 6
Mg3IrCl | Alexandria | PBE | relaxed; N(E_F) = 1.77 states/eV/cell; energy relative to the elements, uncorrected = -0.159 eV per atom; calculated total energy = -0.239 Ry per atom
1.0
5.024 0.000 0.000
0.000 5.024 0.000
0.000 0.000 5.024
Mg Ir Cl
3 1 1
direct
0.000 0.000 0.500 Mg
0.000 0.500 0.000 Mg
0.500 0.000 0.000 Mg
0.000 0.000 0.000 Ir
0.500 0.500 0.500 Cl

***

No. 7
Ta2V2Co15 | Alexandria | PBE | relaxed; N(E_F) = 23.98 states/eV/cell; calculated total energy = -0.575 Ry per atom; formation enthalpy at 0 K = -6 meV per atom
1.0
4.027 2.325 4.013
-4.027 2.325 4.013
0.000 -4.650 4.013
Ta V Co
2 2 15
direct
0.159 0.159 0.159 Ta
0.841 0.841 0.841 Ta
0.402 0.402 0.402 V
0.598 0.598 0.598 V
0.000 0.500 0.500 Co
0.148 0.148 0.661 Co
0.148 0.661 0.148 Co
0.195 0.500 0.805 Co
0.195 0.805 0.500 Co
0.339 0.852 0.852 Co
0.500 0.000 0.500 Co
0.500 0.195 0.805 Co
0.500 0.500 0.000 Co
0.500 0.805 0.195 Co
0.661 0.148 0.148 Co
0.805 0.195 0.500 Co
0.805 0.500 0.195 Co
0.852 0.339 0.852 Co
0.852 0.852 0.339 Co